Record 1
Material: Ca2LaBiRh
Method: DFT, PBE
State: relaxed

Cell and atoms, written as POSCAR:
```
Ca2LaBiRh
1.0
5.454 0.000 0.000
0.000 5.454 0.000
0.000 0.000 5.422
Ca Rh Bi La
2 1 1 1
direct
0.000 0.500 0.000
0.500 0.000 0.000
0.000 0.000 0.000
0.500 0.500 0.500
0.000 0.000 0.500
```

Properties
SG: P4/mmm
Calculated volume: 161 Å³/f.u.
Final energy: -23.095 eV per cell
Energy of formation: -0.59 eV per atom

Record 2
Material: TmLuCo2
Method: DFT, PBE
State: relaxed

Cell and atoms, written as POSCAR:
```
TmLuCo2
1.0
3.273 0.000 0.000
0.000 3.273 0.000
0.000 0.000 6.546
Co Lu Tm
2 1 1
direct
0.000 0.000 0.752
0.000 0.000 0.248
0.500 0.500 0.000
0.500 0.500 0.500
```

Properties
SG: P4/mmm
Calculated volume: 70 Å³/f.u.
Final energy: -24.168 eV per cell
Energy of formation: -0.24 eV per atom

Record 3
Material: Na2SrCuH
Method: DFT, PBE
State: relaxed

Cell and atoms, written as POSCAR:
```
Na2SrCuH
1.0
-3.221 -2.610 -2.207
1.378 -3.767 2.444
-3.471 1.141 3.715
Sr H Cu Na
1 1 1 2
direct
0.000 0.000 0.500
0.000 0.000 0.000
0.500 0.500 0.500
0.000 0.500 0.000
0.500 0.000 0.000
```

Properties
SG: P4/mmm
Calculated volume: 115 Å³/f.u.
Final energy: -11.538 eV per cell

Record 4
Material: Pm6NdTm2Sc
Method: DFT, PBE
State: relaxed

Cell and atoms, written as POSCAR:
```
Pm6NdTm2Sc
1.0
8.967 -1.866 -1.937
0.905 8.614 -1.924
0.905 -2.242 8.537
Pm Nd Tm Sc
12 2 4 2
direct
0.053 0.118 0.766
0.447 0.234 0.882
0.947 0.882 0.234
0.553 0.766 0.118
0.309 0.011 0.448
0.191 0.552 0.989
0.691 0.989 0.552
0.809 0.448 0.011
0.111 0.707 0.480
0.389 0.520 0.293
0.889 0.293 0.520
0.611 0.480 0.707
0.250 0.970 0.030
0.750 0.030 0.970
0.447 0.792 0.695
0.053 0.305 0.208
0.553 0.208 0.305
0.947 0.695 0.792
0.250 0.419 0.581
0.750 0.581 0.419
```

Properties
SG: C2/c
Calculated volume: 329 Å³/f.u.
Final energy: -94.566 eV per cell
Energy of formation: 0.13 eV per atom